Entry 1:
## ZrPdPt (GGA-PBE)

Data for ZrPdPt after structural relaxation.

Values from the calculation:
The calculation puts the formation energy at -89 kJ/mol of atoms. The symmetry is No. 63. For the total energy, the calculation gives -0.27625 hartree per atom.

a b c (Å): 4.911 4.911 5.490
angles (deg): 90.00 90.00 126.13
Element x y z (fractional)
Zr1 0.194 0.806 0.750
Zr2 0.806 0.194 0.250
Pd1 0.500 0.500 0.000
Pd2 0.500 0.500 0.500
Pt1 0.124 0.876 0.250
Pt2 0.876 0.124 0.750

***

Entry 2:
## Sr2PaSi3Pt4 (GGA-PBE)

Data for Sr2PaSi3Pt4 after structural relaxation.

Values from the calculation:
The symmetry is No. 115. For the uncorrected formation energy, the calculation gives -0.8475 eV per atom. For the total energy, the calculation gives -0.22699 hartree per atom.

a b c (Å): 4.341 4.341 10.924
angles (deg): 90.00 90.00 90.00
Element x y z (fractional)
Sr1 0.000 0.500 0.230
Sr2 0.500 0.000 0.770
Pa1 0.000 0.000 0.500
Si1 0.000 0.500 0.887
Si2 0.500 0.000 0.113
Si3 0.500 0.500 0.500
Pt1 0.000 0.000 0.000
Pt2 0.000 0.500 0.663
Pt3 0.500 0.000 0.337
Pt4 0.500 0.500 0.000